# 1
Below is a relaxed structure of YScO4, with properties calculated at the PBE level.

Values from the calculation:
space-group type: Cm (8)

Cell lengths 3.827, 3.827, 5.992 Å; angles 95.11, 95.11, 55.93 degrees
Positions (direct):
Y: 0.000 0.000 0.000
Sc: 0.358 0.358 0.454
O: 0.036 0.036 0.387
O: 0.327 0.327 0.097
O: 0.582 0.582 0.762
O: 0.775 0.775 0.664

=====

# 2
Below is a relaxed structure of YSc2O, with properties calculated at the PBE level.

Values from the calculation:
space-group type: I-42d (122)

Cell lengths 6.494, 6.494, 6.494 Å; angles 119.44, 119.44, 90.97 degrees
Positions (direct):
Y: 0.000 0.000 0.000
Y: 0.750 0.250 0.500
Sc: 0.319 0.625 0.194
Sc: 0.375 0.569 0.694
Sc: 0.431 0.125 0.806
Sc: 0.875 0.681 0.306
O: 0.250 0.750 0.500
O: 0.500 0.500 0.000

=====

# 3
Below is a relaxed structure of Y2Sc6O, with properties calculated at the PBE level.

Values from the calculation:
space-group type: I4/mmm (139)

Cell lengths 6.696, 6.696, 6.696 Å; angles 120.48, 120.48, 89.17 degrees
Positions (direct):
Y: 0.250 0.750 0.500
Y: 0.750 0.250 0.500
Sc: 0.236 0.236 0.000
Sc: 0.240 0.240 0.480
Sc: 0.240 0.760 0.000
Sc: 0.760 0.240 0.000
Sc: 0.760 0.760 0.520
Sc: 0.764 0.764 0.000
O: 0.000 0.000 0.000

=====

# 4
Below is a relaxed structure of YScO, with properties calculated at the PBE level.

Values from the calculation:
energy relative to the lowest polymorph listed for this composition: 0.0 meV per atom
space-group type: P3m1 (156)

Cell lengths 3.391, 3.391, 5.513 Å; angles 90.00, 90.00, 120.00 degrees
Positions (direct):
Y: 0.000 0.000 0.000
Sc: 0.667 0.333 0.470
O: 0.333 0.667 0.264

=====

no.,total magnetic moment (μB per formula unit),formation energy (no corrections) (eV/atom),electronic total energy (Ry/atom)
1,0.00,-2.880,-0.611
2,0.00,-1.343,-0.541
3,0.01,-0.567,-0.498
4,0.02,-1.825,-0.569